No. 1
Crystalline NpHgSe2O8 at its relaxed geometry. Source: Alexandria, functional GGA-PBE.

Properties
E, eV/atom: -6.137
Fermi-level density of states, states/eV/f.u.: 3.36
Uncorrected formation energy, eV per atom: -1.147

Cell lengths 11.8407, 6.2819, 5.2702 Å; angles 90.00, 114.06, 90.00 degrees
With the nearest neighbours (Å) after each atom.
Space group C2/m (No. 12)
One atom of each set of equivalent atoms:
1 Np 0.0000 0.0000 0.0000 [2 per cell]  4 O 1.99
2 Hg 0.0000 0.5000 0.5000 [2 per cell]  2 O 2.11
3 Se 0.2259 0.5000 0.2075 [4 per cell]  2 O 1.70-1.73
4 O 0.1102 0.2275 0.2322 [8 per cell]  1 Np 1.99
5 O 0.1229 0.0000 0.7441 [4 per cell]  1 Se 1.70
6 O 0.1712 0.5000 0.8497 [4 per cell]  1 Se 1.73

No. 2
Crystalline NpSiHgO6 at its relaxed geometry. Source: Alexandria, functional GGA-PBE.

Properties
E, eV/atom: -7.387
Fermi-level density of states, states/eV/f.u.: 2.22
Uncorrected formation energy, eV per atom: -2.008

Cell lengths 5.2342, 5.2342, 9.8521 Å; angles 90.00, 90.00, 120.00 degrees
With the nearest neighbours (Å) after each atom.
Space group P-31c (No. 163)
One atom of each set of equivalent atoms:
1 Np 0.3333 0.6667 0.2500 [2 per cell]  6 O 2.09
2 Si 0.3333 0.6667 0.7500 [2 per cell]  6 O 1.82
3 Hg 0.0000 0.0000 0.0000 [2 per cell]  6 O 2.42
4 O 0.0383 0.3883 0.6463 [12 per cell]  1 Si 1.82